(one)
Here is an optimized crystal structure of In6Se7 from Alexandria. Energies are from GGA-PBE.

Properties
Its space group is R-3m.

a b c (Å): 14.8836 14.8836 14.8836
angles (deg): 20.97 20.97 20.97
Closest atoms and distances in Å follow each position.
Fractional coordinates of all 13 atoms:
1 In 0.0356 0.0356 0.0356  4 In 3.11-3.22, 6 Se 3.42
2 In 0.1476 0.1476 0.1476  3 Se 3.24, 3 In 3.54
3 In 0.3153 0.3153 0.3153  6 In 3.22-3.50, 3 Se 3.26
4 In 0.6847 0.6847 0.6847  6 In 3.22-3.50, 3 Se 3.26
5 In 0.8524 0.8524 0.8524  3 Se 3.24, 3 In 3.54
6 In 0.9644 0.9644 0.9644  4 In 3.11-3.22, 6 Se 3.42
7 Se 0.0854 0.5824 0.5824  4 Se 2.69-2.72
8 Se 0.4176 0.4176 0.9146  4 Se 2.69-2.72
9 Se 0.4176 0.9146 0.4176  4 Se 2.69-2.72
10 Se 0.5000 0.5000 0.5000  6 In 3.24
11 Se 0.5824 0.0854 0.5824  4 Se 2.69-2.72
12 Se 0.5824 0.5824 0.0854  4 Se 2.69-2.72
13 Se 0.9146 0.4176 0.4176  4 Se 2.69-2.72

(two)
Here is an optimized crystal structure of In6Se7 from Alexandria. Energies are from GGA-PBE.

Properties
Its space group is P2_1.

a b c (Å): 9.6049 4.1310 18.0423
angles (deg): 90.00 100.91 90.00
Closest atoms and distances in Å follow each position.
Fractional coordinates of all 26 atoms:
1 In 0.0176 0.0001 0.1031  6 Se 2.73-2.95
2 In 0.0730 0.0005 0.6269  3 Se 2.68-2.74, 1 In 2.84
3 In 0.1805 0.5000 0.3140  3 Se 2.71-2.76, 1 In 2.84
4 In 0.3285 0.9997 0.9664  6 Se 2.69-2.95
5 In 0.3528 0.5003 0.5471  6 Se 2.78-2.86
6 In 0.4772 0.0001 0.7736  7 Se 3.19-3.51
7 In 0.5228 0.5001 0.2264  7 Se 3.19-3.51
8 In 0.6472 0.0003 0.4529  6 Se 2.78-2.86
9 In 0.6715 0.4997 0.0336  6 Se 2.69-2.95
10 In 0.8195 0.0000 0.6860  3 Se 2.71-2.76, 1 In 2.84
11 In 0.9270 0.5005 0.3731  3 Se 2.68-2.74, 1 In 2.84
12 In 0.9824 0.5001 0.8969  6 Se 2.73-2.95
13 Se 0.1203 0.0000 0.8431  3 In 2.69-2.73
14 Se 0.1645 0.0002 0.4955  3 In 2.68-2.79
15 Se 0.1697 0.4993 0.0327  5 In 2.75-2.95
16 Se 0.2400 0.0000 0.2277  3 In 2.71-2.79
17 Se 0.2500 0.5004 0.6813  3 In 2.74-2.78
18 Se 0.4433 0.5002 0.4083  4 In 2.76-2.86
19 Se 0.4703 0.4998 0.9074  3 In 2.69-2.79
20 Se 0.5297 0.9998 0.0926  3 In 2.69-2.79
21 Se 0.5567 0.0002 0.5917  4 In 2.76-2.86
22 Se 0.7500 0.0004 0.3187  3 In 2.74-2.78
23 Se 0.7600 0.5000 0.7723  3 In 2.71-2.79
24 Se 0.8303 0.9993 0.9673  5 In 2.75-2.95
25 Se 0.8355 0.5002 0.5045  3 In 2.68-2.79
26 Se 0.8797 0.5000 0.1569  3 In 2.69-2.73

Winner for stability: (two)

(one)
Here is an optimized crystal structure of In4Se from Alexandria. Energies are from GGA-PBE.

Properties
Its space group is Pm-3m.

a b c (Å): 5.6073 5.6073 5.6073
angles (deg): 90.00 90.00 90.00
Closest atoms and distances in Å follow each position.
Fractional coordinates of all 5 atoms:
1 In 0.0000 0.0000 0.0000  12 In 3.96
2 In 0.0000 0.5000 0.5000  2 Se 2.80
3 In 0.5000 0.0000 0.5000  2 Se 2.80
4 In 0.5000 0.5000 0.0000  2 Se 2.80
5 Se 0.5000 0.5000 0.5000  6 In 2.80

(two)
Here is an optimized crystal structure of In4Se from Alexandria. Energies are from GGA-PBE.

Properties
Its space group is I4/m.

a b c (Å): 6.2866 6.2866 6.2866
angles (deg): 94.94 94.94 145.86
Closest atoms and distances in Å follow each position.
Fractional coordinates of all 5 atoms:
1 In 0.0886 0.7197 0.8083  2 Se 3.11, 6 In 3.35-3.39
2 In 0.2803 0.0886 0.3689  2 Se 3.11, 6 In 3.35-3.39
3 In 0.7197 0.9114 0.6311  2 Se 3.11, 6 In 3.35-3.39
4 In 0.9114 0.2803 0.1917  2 Se 3.11, 6 In 3.35-3.39
5 Se 0.5000 0.5000 0.0000  8 In 3.11

(three)
Here is an optimized crystal structure of In4Se from Alexandria. Energies are from GGA-PBE.

Properties
Its space group is Im-3m.

a b c (Å): 6.0320 6.0320 6.0320
angles (deg): 109.47 109.47 109.47
Closest atoms and distances in Å follow each position.
Fractional coordinates of all 5 atoms:
1 In 0.0000 0.0000 0.5000  2 Se 3.02
2 In 0.0000 0.5000 0.0000  2 Se 3.02
3 In 0.5000 0.0000 0.0000  2 Se 3.02
4 In 0.5000 0.5000 0.5000  2 Se 3.02
5 Se 0.0000 0.0000 0.0000  8 In 3.02

(four)
Here is an optimized crystal structure of In4Se from Alexandria. Energies are from GGA-PBE.

Properties
Its space group is C2/m.

a b c (Å): 3.6869 3.6869 12.6324
angles (deg): 90.21 90.21 60.01
Closest atoms and distances in Å follow each position.
Fractional coordinates of all 5 atoms:
1 In 0.1655 0.1655 0.3465  3 Se 2.88, 1 In 3.10
2 In 0.1677 0.1677 0.1009  4 In 3.10-3.32
3 In 0.8323 0.8323 0.8991  4 In 3.10-3.32
4 In 0.8345 0.8345 0.6535  3 Se 2.88, 1 In 3.10
5 Se 0.5000 0.5000 0.5000  6 In 2.88

Winner for stability: (two)

(one)
Here is an optimized crystal structure of In2SiSe from Alexandria. Energies are from GGA-PBE.

Properties
Its space group is I4/mmm.

a b c (Å): 6.0603 6.0603 6.0603
angles (deg): 138.93 138.93 59.48
Closest atoms and distances in Å follow each position.
Fractional coordinates of all 4 atoms:
1 In 0.2500 0.7500 0.5000  4 In 3.01
2 In 0.7500 0.2500 0.5000  4 In 3.01
3 Si 0.0000 0.0000 0.0000  4 Se 3.01
4 Se 0.5000 0.5000 0.0000  4 Si 3.01

(two)
Here is an optimized crystal structure of In2SiSe from Alexandria. Energies are from GGA-PBE.

Properties
Its space group is C2/m.

a b c (Å): 7.1760 7.1760 4.1919
angles (deg): 106.56 106.56 28.99
Closest atoms and distances in Å follow each position.
Fractional coordinates of all 4 atoms:
1 In 0.1792 0.1792 0.1804  2 Si 2.98, 2 Se 3.16-3.19, 2 In 3.34
2 In 0.8208 0.8208 0.8196  2 Si 2.98, 2 Se 3.16-3.19, 2 In 3.34
3 Si 0.5000 0.5000 0.0000  4 Se 2.76, 4 In 2.98
4 Se 0.0000 0.0000 0.5000  4 Si 2.76

(three)
Here is an optimized crystal structure of In2SiSe from Alexandria. Energies are from GGA-PBE.

Properties
Its space group is Cmmm.

a b c (Å): 3.5966 3.5966 7.5660
angles (deg): 90.00 90.00 106.43
Closest atoms and distances in Å follow each position.
Fractional coordinates of all 4 atoms:
1 In 0.0000 0.0000 0.2459  2 Si 2.85, 2 Se 2.89
2 In 0.0000 0.0000 0.7541  2 Si 2.85, 2 Se 2.89
3 Si 0.5000 0.5000 0.0000  4 In 2.85
4 Se 0.5000 0.5000 0.5000  4 In 2.89

(four)
Here is an optimized crystal structure of In2SiSe from Alexandria. Energies are from GGA-PBE.

Properties
Its space group is I-4m2.

a b c (Å): 6.2464 6.2464 6.2464
angles (deg): 141.30 141.30 55.88
Closest atoms and distances in Å follow each position.
Fractional coordinates of all 4 atoms:
1 In 0.0000 0.0000 0.0000  4 Si 2.93
2 In 0.7500 0.2500 0.5000  4 Se 2.93
3 Si 0.5000 0.5000 0.0000  4 In 2.93
4 Se 0.2500 0.7500 0.5000  4 In 2.93

Winner for stability: (two)

(one)
Here is an optimized crystal structure of InSiSe4 from Alexandria. Energies are from GGA-PBE.

Properties
Its space group is P-42c.

a b c (Å): 5.8781 5.8781 10.2167
angles (deg): 90.00 90.00 90.00
Closest atoms and distances in Å follow each position.
Fractional coordinates of all 12 atoms:
1 In 0.0000 0.0000 0.0000  4 Se 2.63
2 In 0.0000 0.0000 0.5000  4 Se 2.63
3 Si 0.0000 0.5000 0.2500  4 Se 2.30
4 Si 0.5000 0.0000 0.7500  4 Se 2.30
5 Se 0.2549 0.2860 0.3674  1 Si 2.30
6 Se 0.2549 0.7140 0.1326  1 Si 2.30
7 Se 0.2860 0.2549 0.8674  1 Si 2.30
8 Se 0.2860 0.7451 0.6326  1 Si 2.30
9 Se 0.7140 0.2549 0.6326  1 Si 2.30
10 Se 0.7140 0.7451 0.8674  1 Si 2.30
11 Se 0.7451 0.2860 0.1326  1 Si 2.30
12 Se 0.7451 0.7140 0.3674  1 Si 2.30

(two)
Here is an optimized crystal structure of InSiSe4 from Alexandria. Energies are from GGA-PBE.

Properties
Its space group is F-43m.

a b c (Å): 5.7853 5.7853 5.7853
angles (deg): 60.00 60.00 60.00
Closest atoms and distances in Å follow each position.
Fractional coordinates of all 6 atoms:
1 In 0.0000 0.0000 0.0000  12 Se 3.39, 4 Si 3.54
2 Si 0.2500 0.2500 0.2500  12 Se 3.39, 4 In 3.54
3 Se 0.1264 0.6245 0.6245  6 Se 2.88-2.90
4 Se 0.6245 0.1264 0.6245  6 Se 2.88-2.90
5 Se 0.6245 0.6245 0.1264  6 Se 2.88-2.90
6 Se 0.6245 0.6245 0.6245  6 Se 2.88-2.90

Winner for stability: (one)